17
Lattice="7.152 -0.003 0.002 -2.386 8.672 0.010 -1.100 -3.218 8.361" Properties=species:S:1:pos:R:3 comment="Y6PdBr10 | Alexandria via LeMat-Bulk | GGA-PBEsol | optimized geometry" raw_formation_energy_ev_per_fu=-27.02 sg="P-1, No. 2" pbc="T T T"
Br -1.151 0.571 6.875
Br 1.186 3.134 2.293
Br 4.623 1.152 2.995
Br -0.957 4.298 5.378
Br 4.817 4.880 1.498
Br 2.496 6.229 4.516
Br 1.170 6.816 0.747
Br 2.496 -1.366 7.626
Br 1.171 -0.778 3.857
Br 2.480 2.317 6.080
Y -2.438 3.104 7.560
Y 3.680 7.474 2.139
Y 6.104 2.346 0.813
Y 2.122 0.631 1.525
Y -0.014 -2.023 6.234
Y 1.544 4.819 6.847
Pd 0.000 0.000 0.000